# PBE Nd5UN6, relaxed
data_Nd5UN6
_space_group_name_H-M_alt 'C 1 2/m 1'
_space_group_IT_number 12
_cell_length_a 6.241
_cell_length_b 10.800
_cell_length_c 6.231
_cell_angle_alpha 90.00
_cell_angle_beta 109.49
_cell_angle_gamma 90.00
loop_
_space_group_symop_operation_xyz
'x,y,z'
'-x,-y,-z'
'-x,y,-z'
'x,-y,z'
'x+1/2,y+1/2,z'
'-x+1/2,-y+1/2,-z'
'-x+1/2,y+1/2,-z'
'x+1/2,-y+1/2,z'
loop_
_atom_site_label
_atom_site_type_symbol
_atom_site_fract_x
_atom_site_fract_y
_atom_site_fract_z
Nd1 Nd 0.000 0.000 0.000
Nd2 Nd 0.000 0.166 0.500
Nd3 Nd 0.000 0.334 0.000
U1 U 0.000 0.500 0.500
N1 N 0.224 0.500 0.268
N2 N 0.225 0.351 0.728
# Density of states at the Fermi level, states/eV per cell: 10.9
# Size of the total moment, μB per formula unit: 0.000
# ΔE_f (raw), eV per atom: -1.435